Entry 1:
Si2Ni3, relaxed, DFT PBE-GGA; total magnetic moment = 0.00 μB per cell; calculated density = 6.75 g/cm3; symmetry = No. 166; formation energy without anion corrections = -1.37 eV per formula unit
1.0
-2.307 8.875 2.575
-3.447 8.877 0.185
-4.762 7.928 2.279
Si Ni
2 3
Direct
0.400 0.400 0.400
0.600 0.600 0.600
0.000 0.000 0.000
0.797 0.797 0.797
0.203 0.203 0.203

Entry 2:
SiNi3, relaxed, DFT PBE-GGA; total magnetic moment = 0.72 μB per cell; calculated density = 7.51 g/cm3; symmetry = No. 187; formation energy without anion corrections = -0.62 eV per formula unit
1.0
2.625 0.000 0.000
-1.312 2.273 0.000
0.000 0.000 7.572
Ni Si
3 1
Direct
0.000 0.000 0.982
0.000 0.000 0.518
0.667 0.333 0.250
0.667 0.333 0.750

Entry 3:
Si2Ni, relaxed, DFT PBE-GGA; total magnetic moment = 0.00 μB per cell; calculated density = 4.98 g/cm3; symmetry = No. 164; formation energy without anion corrections = -0.39 eV per formula unit
1.0
-0.046 1.809 2.233
-1.635 -2.364 0.032
3.990 -2.729 2.293
Ni Si
1 2
Direct
0.000 0.000 0.000
0.667 0.333 0.685
0.333 0.667 0.315

Entry 4:
Si7Ni, relaxed, DFT PBE-GGA; total magnetic moment = 0.00 μB per cell; calculated density = 3.88 g/cm3; symmetry = No. 225; formation energy without anion corrections = 3.10 eV per formula unit
1.0
-4.182 -1.597 -2.955
-4.858 2.100 0.872
-2.167 3.332 -3.602
Si Ni
7 1
Direct
0.500 0.500 0.000
0.500 0.000 0.500
0.500 0.000 0.000
0.000 0.000 0.500
0.000 0.500 0.000
0.000 0.500 0.500
0.500 0.500 0.500
0.000 0.000 0.000

Entry 5:
Si2Ni3, relaxed, DFT PBE-GGA; total magnetic moment = 0.00 μB per cell; calculated density = 6.72 g/cm3; symmetry = No. 63; formation energy without anion corrections = -2.62 eV per formula unit
1.0
-0.180 4.297 6.940
-7.892 0.853 -1.910
-1.481 -5.778 3.540
Ni Si
24 16
Direct
0.291 0.947 0.526
0.709 0.053 0.026
0.053 0.709 0.026
0.947 0.291 0.526
0.291 0.947 0.906
0.709 0.053 0.406
0.053 0.709 0.406
0.947 0.291 0.906
0.444 0.050 0.216
0.556 0.950 0.716
0.950 0.556 0.716
0.050 0.444 0.216
0.677 0.315 0.216
0.323 0.685 0.716
0.685 0.323 0.716
0.315 0.677 0.216
0.000 0.000 0.966
0.000 0.000 0.466
0.235 0.235 0.027
0.765 0.765 0.527
0.235 0.235 0.405
0.765 0.765 0.905
0.384 0.384 0.716
0.616 0.616 0.216
0.176 0.938 0.216
0.824 0.062 0.716
0.062 0.824 0.716
0.938 0.176 0.216
0.494 0.190 0.508
0.506 0.810 0.008
0.810 0.506 0.008
0.190 0.494 0.508
0.494 0.190 0.924
0.506 0.810 0.424
0.810 0.506 0.424
0.190 0.494 0.924
0.156 0.156 0.716
0.844 0.844 0.216
0.408 0.408 0.216
0.592 0.592 0.716

Entry 6:
Si5Ni, relaxed, DFT PBE-GGA; total magnetic moment = 0.00 μB per cell; calculated density = 4.07 g/cm3; symmetry = No. 65; energy above the lowest structure with this stoichiometry = 94.2 meV/atom; formation energy without anion corrections = 1.74 eV per formula unit
1.0
2.121 -5.239 0.000
2.121 5.239 0.000
0.000 0.000 3.655
Si Ni
5 1
Direct
0.334 0.666 0.500
0.159 0.841 0.000
0.000 0.000 0.500
0.841 0.159 0.000
0.666 0.334 0.500
0.500 0.500 0.000

Which of these has the highest calculated density? SiNi3

Among the records above, which one has the highest total magnetic moment? SiNi3